No. 1
A relaxed MnSbSe2 crystal, computed with PBE.

As for the total energy: -81.2 eV/cell. For the volume, the calculation gives 21.96 Å³ per atom.

The structure belongs to space group Pna2_1 (No. 33); the cell edges are 6.546, 8.696 and 6.171 Å and the angles 90.00°, 90.00° and 90.00°. Symmetry generates all atoms from Mn at (0.039, 0.150, 0.000), Sb at (0.073, 0.550, 0.381), Se at (0.035, 0.093, 0.637) and Se at (0.229, 0.764, 0.727).

=====

No. 2
A relaxed Mn2SbSe crystal, computed with PBE.

As for the total energy: -50.0 eV/cell. For the volume, the calculation gives 19.49 Å³ per atom.

The structure belongs to space group I-4m2 (No. 119); the cell edges are 3.904, 3.904 and 10.229 Å and the angles 90.00°, 90.00° and 90.00°. Symmetry generates all atoms from Mn at (0.000, 0.000, 0.000), Mn at (0.000, 0.500, 0.250), Sb at (0.000, 0.500, 0.750) and Se at (0.000, 0.000, 0.500).

=====

No. 3
A relaxed MnSbSe2 crystal, computed with PBE.

As for the total energy: -21.2 eV/cell. For the volume, the calculation gives 22.96 Å³ per atom.

The structure belongs to space group P3m1 (No. 156); the cell edges are 3.5522, 3.5522 and 8.4038 Å and the angles 90.00°, 90.00° and 120.00°. Symmetry generates all atoms from Mn at (0.0000, 0.0000, 0.0000), Sb at (0.3333, 0.6667, 0.5029), Se at (0.3333, 0.6667, 0.8282) and Se at (0.6667, 0.3333, 0.1711).

=====

No. 4
A relaxed MnSbSe2 crystal, computed with PBE.

As for the total energy: -19.7 eV/cell. For the volume, the calculation gives 21.63 Å³ per atom.

The structure belongs to space group P4/mmm (No. 123); the cell edges are 4.954, 4.954 and 3.525 Å and the angles 90.00°, 90.00° and 90.00°. Symmetry generates all atoms from Mn at (0.000, 0.000, 0.000), Sb at (0.500, 0.500, 0.000) and Se at (0.000, 0.500, 0.500).

=====

No. 5
A relaxed Mn2SbSe crystal, computed with PBE.

As for the total energy: -25.9 eV/cell. For the volume, the calculation gives 19.62 Å³ per atom.

The structure belongs to space group Pm (No. 6); the cell edges are 3.719, 4.302 and 4.995 Å and the angles 90.00°, 100.95° and 90.00°. Symmetry generates all atoms from Mn at (0.000, 0.000, 0.000), Mn at (0.095, 0.500, 0.349), Sb at (0.629, 0.000, 0.429) and Se at (0.231, 0.500, 0.868).

=====

No. 6
A relaxed MnSbSe2 crystal, computed with PBE.

As for the total energy: -19.7 eV/cell. For the volume, the calculation gives 20.83 Å³ per atom.

The structure belongs to space group P4mm (No. 99); the cell edges are 2.957, 2.957 and 9.532 Å and the angles 90.00°, 90.00° and 90.00°. Symmetry generates all atoms from Mn at (0.000, 0.000, 0.000), Sb at (0.500, 0.500, 0.204), Se at (0.000, 0.000, 0.528) and Se at (0.500, 0.500, 0.865).

=====

Q: What is the formula in the fifth record?
A: Mn2SbSe